No. 1
Below is a geometry-optimized Li3YAu2 structure, with properties calculated at the PBE level.

Cell: 14.389 4.069 9.173 Å, 90.00 124.02 90.00°
Space group C2/m (No. 12)
One atom of each set of equivalent atoms:
1 Li 0.067 0.000 0.411 (multiplicity 4)
2 Li 0.073 0.500 0.687 (multiplicity 4)
3 Li 0.232 0.500 0.580 (multiplicity 4)
4 Y 0.125 0.000 0.002 (multiplicity 4)
5 Au 0.075 0.500 0.211 (multiplicity 4)
6 Au 0.203 0.000 0.756 (multiplicity 4)

* N(E_F): 12.2 states/eV/cell
* calculated formation energy: -0.528 eV/atom

***

No. 2
Below is a geometry-optimized Li2Y2Au structure, with properties calculated at the PBE level.

Cell: 6.713 6.713 4.884 Å, 90.00 90.00 90.00°
Space group P4/mbm (No. 127)
One atom of each set of equivalent atoms:
1 Li 0.133 0.367 0.000 (multiplicity 4)
2 Y 0.184 0.684 0.500 (multiplicity 4)
3 Au 0.000 0.000 0.000 (multiplicity 2)

* E above lowest polymorph: 4 meV/atom
* N(E_F): 10.9 states/eV/cell
* calculated formation energy: -0.171 eV/atom

***

No. 3
Below is a geometry-optimized LiY2Au structure, with properties calculated at the PBE level.

Cell: 4.760 3.797 10.805 Å, 90.00 90.00 90.00°
Space group Amm2 (No. 38)
One atom of each set of equivalent atoms:
1 Li 0.000 0.000 0.000 (multiplicity 2)
2 Y 0.000 0.000 0.285 (multiplicity 2)
3 Y 0.500 0.000 0.576 (multiplicity 2)
4 Au 0.500 0.000 0.861 (multiplicity 2)

* N(E_F): 8.7 states/eV/cell
* calculated formation energy: -0.393 eV/atom

***

No. 4
Below is a geometry-optimized Li2YAu structure, with properties calculated at the PBE level.

Cell: 6.644 6.644 6.644 Å, 90.00 90.00 90.00°
Space group Fm-3m (No. 225)
One atom of each set of equivalent atoms:
1 Li 0.250 0.250 0.250 (multiplicity 8)
2 Y 0.000 0.000 0.000 (multiplicity 4)
3 Au 0.000 0.000 0.500 (multiplicity 4)

* E above lowest polymorph: 176 meV/atom
* N(E_F): 23.5 states/eV/cell
* calculated formation energy: -0.270 eV/atom

***

No. 5
Below is a geometry-optimized LiY2Au4 structure, with properties calculated at the PBE level.

Cell: 4.879 4.879 6.719 Å, 90.00 90.00 90.00°
Space group P4/mmm (No. 123)
One atom of each set of equivalent atoms:
1 Li 0.000 0.000 0.000 (multiplicity 1)
2 Y 0.000 0.000 0.500 (multiplicity 1)
3 Y 0.500 0.500 0.000 (multiplicity 1)
4 Au 0.000 0.500 0.249 (multiplicity 4)

* N(E_F): 3.9 states/eV/cell
* calculated formation energy: -0.626 eV/atom

***

No. 6
Below is a geometry-optimized LiY2Au structure, with properties calculated at the PBE level.

Cell: 3.8968 3.8968 26.1211 Å, 90.00 90.00 120.00°
Space group R3m (No. 160, hexagonal axes)
One atom of each set of equivalent atoms:
1 Li 0.0000 0.0000 0.0000 (multiplicity 3)
2 Y 0.0000 0.0000 0.2394 (multiplicity 3)
3 Y 0.0000 0.0000 0.4299 (multiplicity 3)
4 Au 0.0000 0.0000 0.8355 (multiplicity 3)

* N(E_F): 10.8 states/eV/cell
* calculated formation energy: -0.202 eV/atom

***

No. 7
Below is a geometry-optimized Li2YAu structure, with properties calculated at the PBE level.

Cell: 3.552 4.831 9.805 Å, 90.00 90.00 90.00°
Space group Immm (No. 71)
One atom of each set of equivalent atoms:
1 Li 0.000 0.000 0.217 (multiplicity 4)
2 Y 0.000 0.500 0.000 (multiplicity 2)
3 Au 0.000 0.500 0.500 (multiplicity 2)

* E above lowest polymorph: 96 meV/atom
* N(E_F): 3.5 states/eV/cell
* calculated formation energy: -0.350 eV/atom

***

No. 8
Below is a geometry-optimized LiY2Au6 structure, with properties calculated at the PBE level.

Cell: 6.2152 6.2152 5.3925 Å, 90.00 90.00 120.00°
Space group P-3m1 (No. 164)
One atom of each set of equivalent atoms:
1 Li 0.0000 0.0000 0.0000 (multiplicity 1)
2 Y 0.3333 0.6667 0.1824 (multiplicity 2)
3 Au 0.1776 0.3552 0.7007 (multiplicity 6)

* E above lowest polymorph: 28 meV/atom
* N(E_F): 3.8 states/eV/cell
* calculated formation energy: -0.609 eV/atom

***

> Which of these has the lowest N(E_F)?

number 7